No. 1
GeSbTe2 | PBE | relaxed

Cell lengths 4.1524, 6.2592, 4.6566 Å; angles 90.00, 90.00, 90.00 degrees
Last column: nearest neighbours and their distance in Å.
Space group Pmm2 (No. 25)
Inequivalent atoms, fractional coordinates:
Ge1 0.0000 0.0000 0.0000 x1  4 Te 2.83-3.13
Sb1 0.5000 0.5000 0.5429 x1  6 Te 3.10-3.14
Te1 0.0000 0.5000 0.0372 x1  4 Sb 3.10-3.14, 2 Ge 3.13
Te2 0.5000 0.0000 0.5866 x1  2 Ge 2.83, 2 Sb 3.14

Output
Energy above the lowest structure with this stoichiometry   0 meV/atom
Calculated density   6.17 Mg/m³

=====

No. 2
Ge4SbTe5 | PBE | relaxed

Cell lengths 4.1942, 6.0719, 21.9237 Å; angles 90.00, 90.00, 90.00 degrees
Last column: nearest neighbours and their distance in Å.
Space group Immm (No. 71)
Inequivalent atoms, fractional coordinates:
Ge1 0.0000 0.0000 0.1018 x4  6 Te 2.98-3.06
Ge2 0.0000 0.0000 0.2970 x4  6 Te 2.98-3.04
Sb1 0.0000 0.0000 0.5000 x2  6 Te 3.04-3.13
Te1 0.0000 0.5000 0.1062 x4  4 Ge 2.98-3.04, 2 Sb 3.13
Te2 0.0000 0.5000 0.3014 x4  6 Ge 2.98-3.04
Te3 0.0000 0.5000 0.5000 x2  2 Sb 3.04, 4 Ge 3.06

Output
Calculated density   6.25 Mg/m³
Total energy   -0.2837 Ry/atom

=====

No. 3
Ge3SbTe | PBE | relaxed

Cell lengths 5.3854, 5.3854, 5.3854 Å; angles 90.00, 90.00, 90.00 degrees
Last column: nearest neighbours and their distance in Å.
Space group Pm-3m (No. 221)
Inequivalent atoms, fractional coordinates:
Ge1 0.0000 0.0000 0.5000 x3  2 Sb 2.69
Sb1 0.0000 0.0000 0.0000 x1  6 Ge 2.69
Te1 0.5000 0.5000 0.5000 x1  12 Ge 3.81

Output
Energy above the lowest structure with this stoichiometry   0 meV/atom
Calculated density   4.97 Mg/m³

=====

No. 4
GeSb4Te4 | PBE | relaxed

Cell lengths 4.3302, 4.3302, 17.5824 Å; angles 90.00, 90.00, 120.00 degrees
Last column: nearest neighbours and their distance in Å.
Space group P-3m1 (No. 164)
Inequivalent atoms, fractional coordinates:
Ge1 0.0000 0.0000 0.0000 x1  6 Te 3.02
Sb1 0.3333 0.6667 0.2099 x2  6 Te 3.03-3.20
Sb2 0.3333 0.6667 0.5445 x2  3 Sb 2.95
Te1 0.0000 0.0000 0.3073 x2  3 Sb 3.03
Te2 0.3333 0.6667 0.9040 x2  3 Ge 3.02, 3 Sb 3.20

Output
Calculated density   6.22 Mg/m³
Total energy   -0.2811 Ry/atom

=====

No. 5
GeSb4Te7 | PBE | relaxed

Cell lengths 4.3216, 4.3216, 24.2833 Å; angles 90.00, 90.00, 120.00 degrees
Last column: nearest neighbours and their distance in Å.
Space group P-3m1 (No. 164)
Inequivalent atoms, fractional coordinates:
Ge1 0.0000 0.0000 0.0000 x1  6 Te 3.02
Sb1 0.3333 0.6667 0.5821 x2  6 Te 3.03-3.19
Sb2 0.3333 0.6667 0.8473 x2  6 Te 3.02-3.21
Te1 0.0000 0.0000 0.2231 x2  3 Sb 3.02
Te2 0.0000 0.0000 0.5000 x1  6 Sb 3.19
Te3 0.3333 0.6667 0.0698 x2  3 Ge 3.02, 3 Sb 3.21
Te4 0.3333 0.6667 0.3473 x2  3 Sb 3.03

Output
Calculated density   6.14 Mg/m³
Total energy   -0.2729 Ry/atom

=====

No. 6
Th6Ge3Sb2Te | PBE | relaxed

Cell lengths 19.3089, 4.3723, 8.8741 Å; angles 90.00, 104.48, 90.00 degrees
Last column: nearest neighbours and their distance in Å.
Space group C2/m (No. 12)
Inequivalent atoms, fractional coordinates:
Th1 0.0053 0.0000 0.2316 x4  3 Ge 2.98-3.00, 1 Sb 3.21, 2 Te 3.25
Th2 0.1620 0.5000 0.0957 x4  3 Ge 3.03, 3 Sb 3.22
Th3 0.1738 0.5000 0.5716 x4  3 Ge 3.00-3.02, 2 Sb 3.21, 1 Te 3.26
Ge1 0.0000 0.5000 0.0000 x2  6 Th 2.98-3.03
Ge2 0.1657 0.0000 0.3336 x4  6 Th 3.00-3.03
Sb1 0.1660 0.0000 0.8320 x4  6 Th 3.21-3.22
Te1 0.0000 0.5000 0.5000 x2  6 Th 3.25-3.26

Output
Calculated density   9.07 Mg/m³
Total energy   -0.4953 Ry/atom

=====

No. 7
Th8Ge3SbTe4 | PBE | relaxed

Cell lengths 8.8136, 8.8136, 21.8845 Å; angles 90.00, 90.00, 120.00 degrees
Last column: nearest neighbours and their distance in Å.
Space group R-3m (No. 166, hexagonal axes)
Inequivalent atoms, fractional coordinates:
Th1 0.0000 0.0000 0.2386 x6  3 Ge 2.99, 3 Te 3.28
Th2 0.0151 0.5076 0.7586 x18  2 Ge 2.98, 1 Sb 3.12, 3 Te 3.15-3.29
Ge1 0.0000 0.5000 0.5000 x9  6 Th 2.98-2.99
Sb1 0.0000 0.0000 0.5000 x3  6 Th 3.12
Te1 0.0000 0.0000 0.0000 x3  6 Th 3.15
Te2 0.0000 0.5000 0.0000 x9  6 Th 3.28-3.29

Output
Calculated density   9.16 Mg/m³
Total energy   -0.4862 Ry/atom

=====

No. 8
Th6GeSb2Te3 | PBE | relaxed

Cell lengths 19.3588, 4.4640, 8.9156 Å; angles 90.00, 102.09, 90.00 degrees
Last column: nearest neighbours and their distance in Å.
Space group C2/m (No. 12)
Inequivalent atoms, fractional coordinates:
Th1 0.0014 0.0000 0.2743 x4  2 Ge 3.01, 1 Sb 3.17, 3 Te 3.22-3.31
Th2 0.1560 0.5000 0.5814 x4  1 Ge 2.95, 2 Sb 3.15, 3 Te 3.18-3.26
Th3 0.1676 0.5000 0.0821 x4  3 Sb 3.14-3.17, 3 Te 3.17
Ge1 0.0000 0.5000 0.5000 x2  6 Th 2.95-3.01
Sb1 0.1652 0.0000 0.8336 x4  6 Th 3.14-3.17
Te1 0.0000 0.5000 0.0000 x2  6 Th 3.17-3.31
Te2 0.1716 0.0000 0.3369 x4  6 Th 3.17-3.26

Output
Calculated density   9.22 Mg/m³
Total energy   -0.4811 Ry/atom

=====

No. 9
TiGeSbTe2 | PBE | relaxed

Cell lengths 5.3437, 5.3437, 5.2942 Å; angles 90.00, 90.00, 90.00 degrees
Last column: nearest neighbours and their distance in Å.
Space group P4/mmm (No. 123)
Inequivalent atoms, fractional coordinates:
Ti1 0.0000 0.0000 0.0000 x1  8 Te 3.76, 4 Sb 3.78
Ge1 0.5000 0.5000 0.5000 x1  2 Sb 2.65, 4 Te 2.67
Sb1 0.5000 0.5000 0.0000 x1  2 Ge 2.65
Te1 0.0000 0.5000 0.5000 x2  2 Ge 2.67

Output
Energy above the lowest structure with this stoichiometry   438 meV/atom
Calculated density   5.46 Mg/m³

=====

No. 10
TiGeSbTe2 | PBE | relaxed

Cell lengths 5.2755, 5.2755, 5.3574 Å; angles 90.00, 90.00, 90.00 degrees
Last column: nearest neighbours and their distance in Å.
Space group P4/mmm (No. 123)
Inequivalent atoms, fractional coordinates:
Ti1 0.0000 0.0000 0.0000 x1  4 Te 2.64, 2 Sb 2.68
Ge1 0.5000 0.5000 0.5000 x1  4 Sb 3.73, 8 Te 3.76
Sb1 0.0000 0.0000 0.5000 x1  2 Ti 2.68
Te1 0.0000 0.5000 0.0000 x2  2 Ti 2.64

Output
Energy above the lowest structure with this stoichiometry   0 meV/atom
Calculated density   5.54 Mg/m³

=====

No. 11
Tl2GeSbTe4 | PBE | relaxed

Cell lengths 12.7041, 12.7436, 8.9827 Å; angles 90.00, 134.95, 90.00 degrees
Last column: nearest neighbours and their distance in Å.
Space group C2/c (No. 15)
Inequivalent atoms, fractional coordinates:
Tl1 0.0000 0.0000 0.0000 x4  6 Te 3.27-3.29
Tl2 0.2500 0.2500 0.0000 x4  6 Te 3.33-3.34
Ge1 0.2500 0.2500 0.5000 x4  6 Te 3.03
Sb1 0.0000 0.5000 0.0000 x4  6 Te 3.09-3.10
Te1 0.0001 0.2573 0.0238 x8  2 Ge 3.03, 1 Sb 3.10, 3 Tl 3.29-3.33
Te2 0.2360 0.4877 0.4858 x8  1 Ge 3.03, 2 Sb 3.09, 3 Tl 3.27-3.34

Output
Calculated density   7.19 Mg/m³
Total energy   -0.2513 Ry/atom

=====

No. 12
Tl2GeSbTe5 | PBE | relaxed

Cell lengths 4.2194, 20.7478, 13.9343 Å; angles 90.00, 90.00, 90.00 degrees
Last column: nearest neighbours and their distance in Å.
Space group Cmc2_1 (No. 36)
Inequivalent atoms, fractional coordinates:
Tl1 0.0000 0.1178 0.0000 x4  7 Te 3.38-3.61
Tl2 0.0000 0.1268 0.6461 x4  6 Te 3.28-3.40
Ge1 0.0000 0.4400 0.7396 x4  4 Te 2.60-2.71
Sb1 0.0000 0.2059 0.3507 x4  5 Te 2.87-3.19
Te1 0.0000 0.0385 0.3580 x4  2 Ge 2.71
Te2 0.0000 0.2876 0.0034 x4  2 Sb 3.00
Te3 0.0000 0.3190 0.6834 x4  1 Ge 2.63
Te4 0.0000 0.3426 0.3201 x4  1 Sb 2.87
Te5 0.0000 0.4888 0.0862 x4  1 Ge 2.60

Output
Calculated density   6.76 Mg/m³
Total energy   -0.2482 Ry/atom

=====

No. 13
Tl3Ge2SbTe6 | PBE | relaxed

Cell lengths 7.4690, 13.1654, 8.1269 Å; angles 90.00, 108.30, 90.00 degrees
Last column: nearest neighbours and their distance in Å.
Space group C2/m (No. 12)
Inequivalent atoms, fractional coordinates:
Tl1 0.0000 0.0000 0.0000 x2  6 Te 3.27-3.34
Tl2 0.0000 0.3393 0.0000 x4  6 Te 3.31-3.34
Ge1 0.0000 0.1690 0.5000 x4  6 Te 2.99-3.01
Sb1 0.0000 0.5000 0.5000 x2  6 Te 3.08-3.09
Te1 0.2282 0.0000 0.7164 x4  2 Ge 3.01, 1 Sb 3.08, 3 Tl 3.27-3.31
Te2 0.2446 0.3291 0.7202 x8  2 Ge 2.99-3.00, 1 Sb 3.09, 3 Tl 3.32-3.34

Output
Calculated density   7.20 Mg/m³
Total energy   -0.2517 Ry/atom

=====

No. 14
TlGeSbTe3 | PBE | relaxed

Cell lengths 9.3529, 4.2976, 11.6746 Å; angles 90.00, 102.85, 90.00 degrees
Last column: nearest neighbours and their distance in Å.
Space group P2_1/m (No. 11)
Inequivalent atoms, fractional coordinates:
Tl1 0.1946 0.2500 0.2045 x2  5 Te 3.34-3.57, 2 Ge 3.55
Ge1 0.0120 0.2500 0.6513 x2  3 Te 2.81-2.94
Sb1 0.3285 0.7500 0.8868 x2  6 Te 3.02-3.17
Te1 0.1087 0.2500 0.9087 x2  1 Ge 2.94, 2 Sb 3.02
Te2 0.1890 0.7500 0.6130 x2  2 Ge 2.81
Te3 0.4442 0.7500 0.1503 x2  3 Sb 3.03-3.12, 2 Tl 3.34

Output
Calculated density   5.67 Mg/m³
Total energy   -0.2611 Ry/atom

=====

No. 15
TlGe2SbTe | PBE | relaxed

Cell lengths 5.3857, 5.3857, 6.0399 Å; angles 90.00, 90.00, 90.00 degrees
Last column: nearest neighbours and their distance in Å.
Space group P4/mmm (No. 123)
Inequivalent atoms, fractional coordinates:
Tl1 0.0000 0.0000 0.0000 x1  2 Te 3.02
Ge1 0.0000 0.5000 0.5000 x2  2 Te 2.69
Sb1 0.5000 0.5000 0.0000 x1  4 Tl 3.81, 8 Ge 4.05
Te1 0.0000 0.0000 0.5000 x1  4 Ge 2.69

Output
Calculated density   5.68 Mg/m³
Total energy   -0.2219 Ry/atom

=====

No. 16
Tm8GeSb3Te4 | PBE | relaxed

Cell lengths 8.6012, 8.6012, 21.1314 Å; angles 90.00, 90.00, 120.00 degrees
Last column: nearest neighbours and their distance in Å.
Space group R-3m (No. 166, hexagonal axes)
Inequivalent atoms, fractional coordinates:
Tm1 0.0000 0.0000 0.2460 x6  3 Sb 3.00, 3 Te 3.09
Tm2 0.0155 0.5078 0.2427 x18  1 Ge 2.86, 2 Sb 3.01, 2 Te 3.09
Ge1 0.0000 0.0000 0.5000 x3  6 Tm 2.86
Sb1 0.0000 0.5000 0.5000 x9  6 Tm 3.00-3.01
Te1 0.0000 0.0000 0.0000 x3  6 Tm 3.23
Te2 0.0000 0.5000 0.0000 x9  6 Tm 3.09

Output
Calculated density   8.46 Mg/m³
Total energy   -0.3862 Ry/atom

=====

No. 17
Tm6GeSb2Te3 | PBE | relaxed

Cell lengths 18.7675, 4.2768, 8.6153 Å; angles 90.00, 103.38, 90.00 degrees
Last column: nearest neighbours and their distance in Å.
Space group C2/m (No. 12)
Inequivalent atoms, fractional coordinates:
Tm1 0.0009 0.0000 0.2224 x4  2 Ge 2.87, 1 Sb 3.04, 3 Te 3.14-3.21
Tm2 0.1537 0.5000 0.0820 x4  1 Ge 2.81, 2 Sb 3.01, 2 Te 3.08
Tm3 0.1673 0.5000 0.5765 x4  3 Sb 3.00-3.03, 3 Te 3.05-3.08
Ge1 0.0000 0.5000 0.0000 x2  6 Tm 2.81-2.87
Sb1 0.1670 0.0000 0.3329 x4  6 Tm 3.00-3.04
Te1 0.0000 0.5000 0.5000 x2  6 Tm 3.05-3.21
Te2 0.1703 0.0000 0.8348 x4  6 Tm 3.08-3.21

Output
Calculated density   8.45 Mg/m³
Total energy   -0.3872 Ry/atom

=====

No. 18
Tm4GeSbTe2 | PBE | relaxed

Cell lengths 7.4130, 4.2566, 7.4321 Å; angles 90.00, 109.23, 90.00 degrees
Last column: nearest neighbours and their distance in Å.
Space group P2/m (No. 10)
Inequivalent atoms, fractional coordinates:
Tm1 0.2282 0.0000 0.2226 x2  2 Ge 2.88, 1 Sb 3.00, 3 Te 3.07-3.18
Tm2 0.2421 0.5000 0.7708 x2  1 Ge 2.85, 2 Sb 2.99, 2 Te 3.07
Ge1 0.0000 0.5000 0.0000 x1  6 Tm 2.85-2.88
Sb1 0.5000 0.0000 0.0000 x1  6 Tm 2.99-3.00
Te1 0.0000 0.0000 0.5000 x1  6 Tm 3.07
Te2 0.5000 0.5000 0.5000 x1  6 Tm 3.18-3.20

Output
Calculated density   8.44 Mg/m³
Total energy   -0.3885 Ry/atom

=====

No. 19
GeSbTe2W | PBE | relaxed

Cell lengths 5.2644, 5.2644, 5.2305 Å; angles 90.00, 90.00, 90.00 degrees
Last column: nearest neighbours and their distance in Å.
Space group P4/mmm (No. 123)
Inequivalent atoms, fractional coordinates:
Ge1 0.0000 0.0000 0.0000 x1  2 Sb 2.62, 4 Te 2.63
Sb1 0.0000 0.0000 0.5000 x1  2 Ge 2.62
Te1 0.0000 0.5000 0.0000 x2  2 Ge 2.63
W1 0.5000 0.5000 0.5000 x1  8 Te 3.71, 4 Sb 3.72

Output
Energy above the lowest structure with this stoichiometry   655 meV/atom
Calculated density   7.26 Mg/m³

=====

No. 20
GeSbTe2W | PBE | relaxed

Cell lengths 5.2948, 5.2948, 5.3064 Å; angles 90.00, 90.00, 90.00 degrees
Last column: nearest neighbours and their distance in Å.
Space group P4/mmm (No. 123)
Inequivalent atoms, fractional coordinates:
Ge1 0.0000 0.0000 0.0000 x1  4 Sb 3.74, 8 Te 3.75
Sb1 0.5000 0.5000 0.0000 x1  2 W 2.65
Te1 0.0000 0.5000 0.5000 x2  2 W 2.65
W1 0.5000 0.5000 0.5000 x1  4 Te 2.65, 2 Sb 2.65

Output
Energy above the lowest structure with this stoichiometry   0 meV/atom
Calculated density   7.07 Mg/m³

=====

No. 21
YGeSb2Te | PBE | relaxed

Cell lengths 5.3102, 5.3102, 5.3939 Å; angles 90.00, 90.00, 90.00 degrees
Last column: nearest neighbours and their distance in Å.
Space group P4/mmm (No. 123)
Inequivalent atoms, fractional coordinates:
Y1 0.0000 0.0000 0.0000 x1  4 Te 3.75, 8 Sb 3.78
Ge1 0.5000 0.5000 0.5000 x1  4 Sb 2.66, 2 Te 2.70
Sb1 0.0000 0.5000 0.5000 x2  2 Ge 2.66
Te1 0.5000 0.5000 0.0000 x1  2 Ge 2.70

Output
Energy above the lowest structure with this stoichiometry   0 meV/atom
Calculated density   5.82 Mg/m³

=====

No. 22
YGe2SbTe | PBE | relaxed

Cell lengths 5.1866, 5.1866, 5.8007 Å; angles 90.00, 90.00, 90.00 degrees
Last column: nearest neighbours and their distance in Å.
Space group P4/mmm (No. 123)
Inequivalent atoms, fractional coordinates:
Y1 0.0000 0.0000 0.0000 x1  4 Sb 3.67, 8 Ge 3.89
Ge1 0.0000 0.5000 0.5000 x2  2 Te 2.59
Sb1 0.5000 0.5000 0.0000 x1  2 Te 2.90
Te1 0.5000 0.5000 0.5000 x1  4 Ge 2.59, 2 Sb 2.90

Output
Energy above the lowest structure with this stoichiometry   0 meV/atom
Calculated density   5.15 Mg/m³

=====

No. 23
YGe2SbTe | PBE | relaxed

Cell lengths 5.4995, 5.4995, 5.7788 Å; angles 90.00, 90.00, 90.00 degrees
Last column: nearest neighbours and their distance in Å.
Space group P4/mmm (No. 123)
Inequivalent atoms, fractional coordinates:
Y1 0.0000 0.0000 0.0000 x1  4 Ge 2.75, 2 Sb 2.89
Ge1 0.0000 0.5000 0.0000 x2  2 Y 2.75
Sb1 0.0000 0.0000 0.5000 x1  2 Y 2.89
Te1 0.5000 0.5000 0.5000 x1  4 Sb 3.89, 8 Ge 3.99

Output
Energy above the lowest structure with this stoichiometry   11 meV/atom
Calculated density   4.59 Mg/m³

=====

no.,total magnetic moment (μB per atom)
1,0.000
2,0.000
3,0.000
4,0.000
5,0.000
6,0.000
7,0.000
8,0.000
9,0.297
10,0.000
11,0.000
12,0.000
13,0.000
14,0.000
15,0.000
16,0.000
17,0.000
18,0.000
19,0.569
20,0.244
21,0.000
22,0.000
23,0.000